Record 1
A geometry-optimized HfTiAg3 structure, computed with PBEsol.

The structure in POSCAR format:
```
HfTiAg3
1.0
4.7369 0.0000 0.0000
0.0000 4.7369 0.0000
0.0000 0.0000 4.7369
Hf Ti Ag
1 1 3
direct
0.0000 0.0000 0.0000
0.5000 0.5000 0.5000
0.0000 0.5000 0.5000
0.5000 0.0000 0.5000
0.5000 0.5000 0.0000
```

* total energy: -4.611 eV per atom
* magnetization: 0.1634 μB per atom

---

Record 2
A geometry-optimized MnCu2Ir structure, computed with PBEsol.

The structure in POSCAR format:
```
MnCu2Ir
1.0
-1.8091 1.8091 3.7979
1.8091 -1.8091 3.7979
1.8091 1.8091 -3.7979
Mn Cu Ir
1 2 1
direct
0.0000 0.0000 0.0000
0.2500 0.7500 0.5000
0.7500 0.2500 0.5000
0.5000 0.5000 0.0000
```

* total energy: -6.968 eV per atom
* magnetization: 0.9384 μB per atom

---

Record 3
A geometry-optimized LiTcAs2 structure, computed with PBEsol.

The structure in POSCAR format:
```
LiTcAs2
1.0
3.1006 0.0000 0.0000
0.0000 3.8898 0.0000
0.0000 0.0000 4.9397
Li Tc As
1 1 2
direct
0.0000 0.0000 0.0000
0.5000 0.5000 0.3194
0.0000 0.0000 0.4853
0.5000 0.5000 0.8298
```

* energy above the lowest structure with this stoichiometry: 0.272 eV/atom
* magnetization: 0.0000 μB per atom

---

Record 4
A geometry-optimized Er4InIr structure, computed with PBEsol.

The structure in POSCAR format:
```
Er4InIr
1.0
0.0000 6.6596 6.6596
6.6596 0.0000 6.6596
6.6596 6.6596 0.0000
Er In Ir
16 4 4
direct
0.0588 0.0588 0.4412
0.0588 0.4412 0.0588
0.0588 0.4412 0.4412
0.1903 0.1903 0.8097
0.1903 0.8097 0.1903
0.1903 0.8097 0.8097
0.2012 0.5996 0.5996
0.4412 0.0588 0.0588
0.4412 0.0588 0.4412
0.4412 0.4412 0.0588
0.5996 0.2012 0.5996
0.5996 0.5996 0.2012
0.5996 0.5996 0.5996
0.8097 0.1903 0.1903
0.8097 0.1903 0.8097
0.8097 0.8097 0.1903
0.5010 0.8330 0.8330
0.8330 0.5010 0.8330
0.8330 0.8330 0.5010
0.8330 0.8330 0.8330
0.3915 0.3915 0.3915
0.3915 0.3915 0.8255
0.3915 0.8255 0.3915
0.8255 0.3915 0.3915
```

* total energy: -6.028 eV per atom
* magnetization: 0.0000 μB per atom

---

Record 5
A geometry-optimized MgFeRu structure, computed with PBEsol.

The structure in POSCAR format:
```
MgFeRu
1.0
4.2582 0.0000 0.0000
-2.1291 3.6877 0.0000
0.0000 0.0000 2.6551
Mg Fe Ru
1 1 1
direct
0.0000 0.0000 0.0000
0.3333 0.6667 0.6357
0.6667 0.3333 0.4051
```

* total energy: -6.680 eV per atom
* magnetization: 1.0844 μB per atom

---

Record 6
A geometry-optimized MgInAs2Se structure, computed with PBEsol.

The structure in POSCAR format:
```
MgInAs2Se
1.0
4.9919 0.0000 0.0000
0.0000 4.9919 0.0000
0.0000 0.0000 5.0002
Mg In As Se
1 1 2 1
direct
0.0000 0.0000 0.0000
0.5000 0.5000 0.5000
0.0000 0.5000 0.0000
0.5000 0.0000 0.0000
0.0000 0.0000 0.5000
```

* energy above the lowest structure with this stoichiometry: 0.000 eV/atom
* E_form (uncorrected): 411 meV per atom
* magnetization: 0.0001 μB per atom

---

Record 7
A geometry-optimized KInRh structure, computed with PBEsol.

The structure in POSCAR format:
```
KInRh
1.0
0.0000 3.3728 3.3728
3.3728 0.0000 3.3728
3.3728 3.3728 0.0000
K In Rh
1 1 1
direct
0.0000 0.0000 0.0000
0.2500 0.2500 0.2500
0.5000 0.5000 0.5000
```

* total energy: -3.428 eV per atom
* magnetization: 0.0001 μB per atom

---

Record 8
A geometry-optimized SrSi2Ni structure, computed with PBEsol.

The structure in POSCAR format:
```
SrSi2Ni
1.0
0.0000 3.2551 3.2551
3.2551 0.0000 3.2551
3.2551 3.2551 0.0000
Sr Si Ni
1 2 1
direct
0.0000 0.0000 0.0000
0.5000 0.5000 0.5000
0.7500 0.7500 0.7500
0.2500 0.2500 0.2500
```

* E_form (uncorrected): 226 meV per atom
* magnetization: 0.0000 μB per atom